VASP calculation (GGA-PBE) on a relaxed structure of PmNdBiAu.

The structure belongs to space group F-43m (No. 216); the cell edges are 7.6636, 7.6636 and 7.6636 Å and the angles 90.00°, 90.00° and 90.00°. Symmetry generates all atoms from Pm at (0.0000, 0.0000, 0.0000), Nd at (0.0000, 0.0000, 0.5000), Bi at (0.2500, 0.2500, 0.7500) and Au at (0.2500, 0.2500, 0.2500).

The calculation puts the final energy at -4.866 eV per atom. The energy of formation is -697 meV/atom. The value obtained for the density of states at the Fermi level is 4.9 states/eV/f.u.

VASP calculation (GGA-PBE) on a relaxed structure of PrNdBiAu.

The structure belongs to space group F-43m (No. 216); the cell edges are 7.7159, 7.7159 and 7.7159 Å and the angles 90.00°, 90.00° and 90.00°. Symmetry generates all atoms from Pr at (0.0000, 0.0000, 0.0000), Nd at (0.0000, 0.0000, 0.5000), Bi at (0.2500, 0.2500, 0.7500) and Au at (0.2500, 0.2500, 0.2500).

The calculation puts the final energy at -4.880 eV per atom. The energy of formation is -704 meV/atom. The value obtained for the density of states at the Fermi level is 4.7 states/eV/f.u.